No. 1
# Mn2NbIr

Mn2NbIr after structural relaxation (GGA-PBE, the Alexandria database). Values from VASP.

```
&SYSTEM
  ibrav = 0, nat = 4, ntyp = 3
/
ATOMIC_SPECIES
Mn 54.94 Mn.upf
Nb 92.91 Nb.upf
Ir 192.22 Ir.upf
CELL_PARAMETERS angstrom
0.0000 3.0600 3.0600
3.0600 0.0000 3.0600
3.0600 3.0600 0.0000
ATOMIC_POSITIONS angstrom
Mn 1.5300 1.5300 1.5300
Mn 4.5900 4.5900 4.5900
Nb 0.0000 0.0000 0.0000
Ir 3.0600 3.0600 3.0600
```

Results
The value obtained for the energy above the most stable polymorph in this dataset is 0.0130 eV per atom. The value obtained for the final energy is -37.91 eV per cell. Its space group is Fm-3m, No. 225. For the formation enthalpy at 0 K, the calculation gives -0.161 eV/atom.

---

No. 2
# Mn2NbIr

Mn2NbIr after structural relaxation (GGA-PBE, the Alexandria database). Values from VASP.

```
&SYSTEM
  ibrav = 0, nat = 4, ntyp = 3
/
ATOMIC_SPECIES
Mn 54.94 Mn.upf
Nb 92.91 Nb.upf
Ir 192.22 Ir.upf
CELL_PARAMETERS angstrom
3.9995 0.0000 0.0000
0.0000 3.9995 0.0000
0.0000 0.0000 3.5881
ATOMIC_POSITIONS angstrom
Mn 0.0000 1.9997 0.0000
Mn 1.9997 0.0000 0.0000
Nb 0.0000 0.0000 1.7940
Ir 1.9997 1.9997 1.7940
```

Results
The value obtained for the energy above the most stable polymorph in this dataset is 0.0000 eV per atom. The value obtained for the final energy is -37.97 eV per cell. Its space group is P4/mmm, No. 123. For the formation enthalpy at 0 K, the calculation gives -0.174 eV/atom.

---

No. 3
# MnNbIr2

MnNbIr2 after structural relaxation (GGA-PBE, the Alexandria database). Values from VASP.

```
&SYSTEM
  ibrav = 0, nat = 8, ntyp = 3
/
ATOMIC_SPECIES
Mn 54.94 Mn.upf
Nb 92.91 Nb.upf
Ir 192.22 Ir.upf
CELL_PARAMETERS angstrom
-1.9446 1.9446 8.7226
1.9446 -1.9446 8.7226
1.9446 1.9446 -8.7226
ATOMIC_POSITIONS angstrom
Mn 0.0000 0.0000 0.0000
Mn 0.0000 1.9446 4.3613
Nb 1.9446 0.0000 4.3613
Nb 0.0000 0.0000 8.7226
Ir 2.9170 0.8610 -2.1806
Ir 0.8610 0.9723 2.1806
Ir -0.9723 1.0837 6.5419
Ir 1.0837 0.9723 10.9032
```

Results
The value obtained for the final energy is -71.98 eV per cell. Its space group is I-42d, No. 122. For the formation enthalpy at 0 K, the calculation gives 0.243 eV/atom.

---

No. 4
# MnNb3Ir

MnNb3Ir after structural relaxation (GGA-PBE, the Alexandria database). Values from VASP.

```
&SYSTEM
  ibrav = 0, nat = 5, ntyp = 3
/
ATOMIC_SPECIES
Mn 54.94 Mn.upf
Nb 92.91 Nb.upf
Ir 192.22 Ir.upf
CELL_PARAMETERS angstrom
4.5046 0.0000 0.0000
0.0000 4.5046 0.0000
0.0000 0.0000 4.5046
ATOMIC_POSITIONS angstrom
Mn 0.0000 0.0000 0.0000
Nb 0.0000 0.0000 2.2523
Nb 0.0000 2.2523 0.0000
Nb 2.2523 0.0000 0.0000
Ir 2.2523 2.2523 2.2523
```

Results
The value obtained for the energy above the most stable polymorph in this dataset is 0.0000 eV per atom. The value obtained for the final energy is -44.54 eV per cell. Its space group is Pm-3m, No. 221. For the formation enthalpy at 0 K, the calculation gives 0.740 eV/atom.

---

No. 5
# MnNbIr3

MnNbIr3 after structural relaxation (GGA-PBE, the Alexandria database). Values from VASP.

```
&SYSTEM
  ibrav = 0, nat = 5, ntyp = 3
/
ATOMIC_SPECIES
Mn 54.94 Mn.upf
Nb 92.91 Nb.upf
Ir 192.22 Ir.upf
CELL_PARAMETERS angstrom
2.6746 1.5442 3.9632
-2.6746 1.5442 3.9632
0.0000 -3.0884 3.9632
ATOMIC_POSITIONS angstrom
Mn 0.0000 0.0000 0.0000
Nb 0.0000 0.0000 5.9448
Ir -2.6746 0.0000 5.9448
Ir -1.3373 0.7721 1.9816
Ir 1.3373 0.7721 1.9816
```

Results
The value obtained for the energy above the most stable polymorph in this dataset is 0.0000 eV per atom. The value obtained for the final energy is -43.13 eV per cell. Its space group is R-3m, No. 166. For the formation enthalpy at 0 K, the calculation gives 0.539 eV/atom.

---

No. 6
# MnNbIr2

MnNbIr2 after structural relaxation (GGA-PBE, the Alexandria database). Values from VASP.

```
&SYSTEM
  ibrav = 0, nat = 4, ntyp = 3
/
ATOMIC_SPECIES
Mn 54.94 Mn.upf
Nb 92.91 Nb.upf
Ir 192.22 Ir.upf
CELL_PARAMETERS angstrom
0.0000 3.1426 3.1426
3.1426 0.0000 3.1426
3.1426 3.1426 0.0000
ATOMIC_POSITIONS angstrom
Mn 0.0000 0.0000 0.0000
Nb 3.1426 3.1426 3.1426
Ir 1.5713 1.5713 1.5713
Ir 4.7140 4.7140 4.7140
```

Results
The value obtained for the final energy is -38.03 eV per cell. Its space group is Fm-3m, No. 225. For the formation enthalpy at 0 K, the calculation gives -0.267 eV/atom.

---

No. 7
# MnNb3Ir

MnNb3Ir after structural relaxation (GGA-PBE, the Alexandria database). Values from VASP.

```
&SYSTEM
  ibrav = 0, nat = 5, ntyp = 3
/
ATOMIC_SPECIES
Mn 54.94 Mn.upf
Nb 92.91 Nb.upf
Ir 192.22 Ir.upf
CELL_PARAMETERS angstrom
4.8223 0.0000 0.0000
0.0000 4.8223 0.0000
0.0000 0.0000 4.8223
ATOMIC_POSITIONS angstrom
Mn 0.0000 0.0000 0.0000
Nb 0.0000 2.4112 2.4112
Nb 2.4112 0.0000 2.4112
Nb 2.4112 2.4112 0.0000
Ir 2.4112 2.4112 2.4112
```

Results
The value obtained for the energy above the most stable polymorph in this dataset is 0.7322 eV per atom. The value obtained for the final energy is -40.88 eV per cell. Its space group is Pm-3m, No. 221. For the formation enthalpy at 0 K, the calculation gives 1.472 eV/atom.

---

No. 8
# MnNbIr3

MnNbIr3 after structural relaxation (GGA-PBE, the Alexandria database). Values from VASP.

```
&SYSTEM
  ibrav = 0, nat = 5, ntyp = 3
/
ATOMIC_SPECIES
Mn 54.94 Mn.upf
Nb 92.91 Nb.upf
Ir 192.22 Ir.upf
CELL_PARAMETERS angstrom
4.4407 0.0000 0.0000
0.0000 4.4407 0.0000
0.0000 0.0000 4.4407
ATOMIC_POSITIONS angstrom
Mn 0.0000 0.0000 0.0000
Nb 2.2204 2.2204 2.2204
Ir 0.0000 0.0000 2.2204
Ir 0.0000 2.2204 0.0000
Ir 2.2204 0.0000 0.0000
```

Results
The value obtained for the energy above the most stable polymorph in this dataset is 0.5774 eV per atom. The value obtained for the final energy is -40.24 eV per cell. Its space group is Pm-3m, No. 221. For the formation enthalpy at 0 K, the calculation gives 1.117 eV/atom.

---

No. 9
# Mn3Nb12Ir5

Mn3Nb12Ir5 after structural relaxation (GGA-PBE, the Alexandria database). Values from VASP.

```
&SYSTEM
  ibrav = 0, nat = 80, ntyp = 3
/
ATOMIC_SPECIES
Mn 54.94 Mn.upf
Nb 92.91 Nb.upf
Ir 192.22 Ir.upf
CELL_PARAMETERS angstrom
-7.4362 7.4362 7.4362
7.4362 -7.4362 7.4362
7.4362 7.4362 -7.4362
ATOMIC_POSITIONS angstrom
Mn 3.7181 1.8591 0.0000
Mn 7.4362 3.7181 -1.8591
Mn 1.8591 0.0000 3.7181
Mn 9.2953 0.0000 3.7181
Mn 0.0000 3.7181 1.8591
Mn 3.7181 -1.8591 7.4362
Mn 3.7181 9.2953 0.0000
Mn 7.4362 3.7181 5.5772
Mn -1.8591 7.4362 3.7181
Mn 5.5772 7.4362 3.7181
Mn 0.0000 3.7181 9.2953
Mn 3.7181 5.5772 7.4362
Nb 2.2526 -0.2553 1.2243
Nb 8.9017 4.9424 -3.9734
Nb 7.1809 -1.2243 2.2526
Nb 11.4096 -1.4655 2.4938
Nb 9.6888 0.2553 1.2243
Nb 8.9017 -2.4938 3.9734
Nb 1.2243 2.2526 -0.2553
Nb 9.9300 3.4628 -1.4655
Nb 4.9424 3.9734 -1.4655
Nb 6.2119 2.2526 0.2553
Nb -0.2553 1.2243 2.2526
Nb 3.9734 -1.4655 4.9424
Nb 7.1809 6.2119 -2.2526
Nb 3.9734 1.4655 2.4938
Nb 6.2119 -2.2526 7.1809
Nb 4.9424 -3.9734 8.9017
Nb 2.4938 3.9734 1.4655
Nb 8.6605 5.1836 0.2553
Nb 2.2526 7.1809 -1.2243
Nb 8.9017 2.4938 3.4628
Nb 3.9734 8.9017 -2.4938
Nb 7.1809 1.2243 5.1836
Nb 1.4655 2.4938 3.9734
Nb 2.2526 0.2553 6.2119
Nb 5.1836 7.1809 1.2243
Nb 5.9707 4.9424 3.4628
Nb 0.2553 6.2119 2.2526
Nb 3.4628 -1.4655 9.9300
Nb -1.4655 4.9424 3.9734
Nb 5.1836 0.2553 8.6605
Nb -1.2243 2.2526 7.1809
Nb 4.9424 3.4628 5.9707
Nb 2.4938 11.4096 -1.4655
Nb 1.2243 9.6888 0.2553
Nb 3.4628 5.9707 4.9424
Nb 0.2553 1.2243 9.6888
Nb 3.4628 8.9017 2.4938
Nb 7.6915 6.2119 5.1836
Nb 1.2243 5.1836 7.1809
Nb 2.4938 3.4628 8.9017
Nb -2.4938 3.9734 8.9017
Nb 6.2119 5.1836 7.6915
Nb -1.4655 9.9300 3.4628
Nb -2.2526 7.1809 6.2119
Nb -3.9734 8.9017 4.9424
Nb 0.2553 8.6605 5.1836
Nb -1.4655 2.4938 11.4096
Nb 5.1836 7.6915 6.2119
Ir 0.0000 0.0000 0.0000
Ir 3.7181 3.7181 -3.7181
Ir 3.7181 -3.7181 3.7181
Ir 7.4362 0.0000 0.0000
Ir 11.1543 1.8591 0.0000
Ir 7.4362 -3.7181 5.5772
Ir 5.5772 7.4362 -3.7181
Ir 5.5772 0.0000 3.7181
Ir 3.7181 5.5772 0.0000
Ir 7.4362 3.7181 1.8591
Ir -3.7181 3.7181 3.7181
Ir 0.0000 7.4362 0.0000
Ir 0.0000 0.0000 7.4362
Ir 3.7181 3.7181 3.7181
Ir 0.0000 3.7181 5.5772
Ir 3.7181 1.8591 7.4362
Ir 1.8591 7.4362 3.7181
Ir 1.8591 0.0000 11.1543
Ir 0.0000 11.1543 1.8591
Ir -3.7181 5.5772 7.4362
```

Results
The value obtained for the final energy is -724.88 eV per cell. Its space group is Ia-3d, No. 230. For the formation enthalpy at 0 K, the calculation gives 0.572 eV/atom.

---

No. 10
# Mn15Nb2Ir2

Mn15Nb2Ir2 after structural relaxation (GGA-PBE, the Alexandria database). Values from VASP.

```
&SYSTEM
  ibrav = 0, nat = 19, ntyp = 3
/
ATOMIC_SPECIES
Mn 54.94 Mn.upf
Nb 92.91 Nb.upf
Ir 192.22 Ir.upf
CELL_PARAMETERS angstrom
4.0666 2.3479 4.0536
-4.0666 2.3479 4.0536
0.0000 -4.6957 4.0536
ATOMIC_POSITIONS angstrom
Mn -4.0666 0.0000 6.0805
Mn -1.2351 -2.5565 4.0536
Mn -2.0333 1.1739 2.0268
Mn -2.8315 0.2086 4.0536
Mn -1.9724 -1.1388 5.9229
Mn 1.2351 -2.5565 4.0536
Mn -1.5964 2.3479 4.0536
Mn 0.0000 -2.2776 6.2380
Mn -1.9724 1.1388 6.2380
Mn 2.0333 1.1739 2.0268
Mn 1.9724 -1.1388 5.9229
Mn 0.0000 2.2776 5.9229
Mn 2.8315 0.2086 4.0536
Mn 1.5964 2.3479 4.0536
Mn 1.9724 1.1388 6.2380
Nb 0.0000 0.0000 4.1478
Nb 0.0000 0.0000 8.0131
Ir 0.0000 0.0000 1.2602
Ir 0.0000 0.0000 10.9007
```

Results
The value obtained for the final energy is -175.19 eV per cell. Its space group is R-3m, No. 166. For the formation enthalpy at 0 K, the calculation gives 0.011 eV/atom.

---

No. 11
# MnNbNiIr

MnNbNiIr after structural relaxation (GGA-PBE, the Alexandria database). Values from VASP.

```
&SYSTEM
  ibrav = 0, nat = 4, ntyp = 4
/
ATOMIC_SPECIES
Mn 54.94 Mn.upf
Nb 92.91 Nb.upf
Ni 58.69 Ni.upf
Ir 192.22 Ir.upf
CELL_PARAMETERS angstrom
3.8015 0.0000 0.0000
0.0000 3.8053 0.0000
0.0000 0.0000 3.8343
ATOMIC_POSITIONS angstrom
Mn 0.0000 0.0000 0.0000
Nb 1.9007 1.9027 0.0000
Ni 1.9007 0.0000 1.9171
Ir 0.0000 1.9027 1.9171
```

Results
The value obtained for the final energy is -35.15 eV per cell. Its space group is Pmmm, No. 47. For the formation enthalpy at 0 K, the calculation gives -0.316 eV/atom.

---

No. 12
# NpMnNbIr

NpMnNbIr after structural relaxation (GGA-PBE, the Alexandria database). Values from VASP.

```
&SYSTEM
  ibrav = 0, nat = 4, ntyp = 4
/
ATOMIC_SPECIES
Np 237.00 Np.upf
Mn 54.94 Mn.upf
Nb 92.91 Nb.upf
Ir 192.22 Ir.upf
CELL_PARAMETERS angstrom
0.0000 3.2143 3.2143
3.2143 0.0000 3.2143
3.2143 3.2143 0.0000
ATOMIC_POSITIONS angstrom
Np 0.0000 0.0000 0.0000
Mn 1.6071 1.6071 1.6071
Nb 4.8214 4.8214 4.8214
Ir 3.2143 3.2143 3.2143
```

Results
The value obtained for the final energy is -40.49 eV per cell. Its space group is F-43m, No. 216. For the formation enthalpy at 0 K, the calculation gives 0.137 eV/atom.

---

- Among the records above, which one has the lowest final energy?
  Mn3Nb12Ir5

---

- Which formula does entry 7 have?
  MnNb3Ir

---

Please write out number 4 again, unchanged.
# MnNb3Ir

MnNb3Ir after structural relaxation (GGA-PBE, the Alexandria database). Values from VASP.

```
&SYSTEM
  ibrav = 0, nat = 5, ntyp = 3
/
ATOMIC_SPECIES
Mn 54.94 Mn.upf
Nb 92.91 Nb.upf
Ir 192.22 Ir.upf
CELL_PARAMETERS angstrom
4.5046 0.0000 0.0000
0.0000 4.5046 0.0000
0.0000 0.0000 4.5046
ATOMIC_POSITIONS angstrom
Mn 0.0000 0.0000 0.0000
Nb 0.0000 0.0000 2.2523
Nb 0.0000 2.2523 0.0000
Nb 2.2523 0.0000 0.0000
Ir 2.2523 2.2523 2.2523
```

Results
The value obtained for the energy above the most stable polymorph in this dataset is 0.0000 eV per atom. The value obtained for the final energy is -44.54 eV per cell. Its space group is Pm-3m, No. 221. For the formation enthalpy at 0 K, the calculation gives 0.740 eV/atom.

---

- final energy of number 4 (MnNb3Ir)?
  -44.54 eV per cell